! Sc3NiO GGA+U optimized geometry; values from VASP
! Calculated total energy: -31.3 eV/cell
! SG: Pm-3m
&SYSTEM
  ibrav = 0, nat = 5, ntyp = 3
/
ATOMIC_SPECIES
Sc 44.96 Sc.upf
Ni 58.69 Ni.upf
O 16.00 O.upf
CELL_PARAMETERS angstrom
-1.392 -1.514 -3.794
2.166 -3.672 0.671
-3.464 -1.688 1.944
ATOMIC_POSITIONS crystal
Sc 0.000 0.500 0.000
Sc 0.000 0.000 0.500
Sc 0.500 0.000 0.000
Ni 0.500 0.500 0.500
O 0.000 0.000 0.000